# Sr3FeSb | Alexandria via LeMat-Bulk | PBE | relaxed
data_Sr3FeSb
_chemical_formula_sum 'Sr3 Fe1 Sb1'
_cell_length_a 5.557
_cell_length_b 5.557
_cell_length_c 5.557
_cell_angle_alpha 90.00
_cell_angle_beta 90.00
_cell_angle_gamma 90.00
_symmetry_space_group_name_H-M 'P m -3 m'
_symmetry_Int_Tables_number 221
_symmetry_space_group_name_Hall '-P 4 2 3'
loop_
_atom_site_label
_atom_site_fract_x
_atom_site_fract_y
_atom_site_fract_z
Sr1 0.000 0.000 0.500
Fe1 0.000 0.000 0.000
Sb1 0.500 0.500 0.500
# * formation energy (no corrections): 0.092 eV/atom

# TmPuTlBi | Alexandria via LeMat-Bulk | PBE | relaxed
data_TmPuTlBi
_chemical_formula_sum 'Tm4 Pu4 Tl4 Bi4'
_cell_length_a 7.658
_cell_length_b 7.658
_cell_length_c 7.658
_cell_angle_alpha 90.00
_cell_angle_beta 90.00
_cell_angle_gamma 90.00
_symmetry_space_group_name_H-M 'F -4 3 m'
_symmetry_Int_Tables_number 216
_symmetry_space_group_name_Hall 'F -4 2 3'
loop_
_atom_site_label
_atom_site_fract_x
_atom_site_fract_y
_atom_site_fract_z
Tm1 0.000 0.000 0.000
Pu1 0.000 0.000 0.500
Tl1 0.250 0.250 0.250
Bi1 0.250 0.250 0.750
# * E_form: -237.9 meV/atom

# Ba2ZrMn | Alexandria via LeMat-Bulk | PBE | relaxed
data_Ba2ZrMn
_chemical_formula_sum 'Ba4 Zr2 Mn2'
_cell_length_a 7.499
_cell_length_b 9.676
_cell_length_c 3.720
_cell_angle_alpha 90.00
_cell_angle_beta 90.00
_cell_angle_gamma 90.00
_symmetry_space_group_name_H-M 'C m m m'
_symmetry_Int_Tables_number 65
_symmetry_space_group_name_Hall '-C 2 2'
loop_
_atom_site_label
_atom_site_fract_x
_atom_site_fract_y
_atom_site_fract_z
Ba1 0.250 0.250 0.000
Zr1 0.000 0.000 0.500
Mn1 0.000 0.500 0.500
# * E_form: 820.8 meV/atom

# HoHfGe | Alexandria via LeMat-Bulk | PBE | relaxed
data_HoHfGe
_chemical_formula_sum 'Ho1 Hf1 Ge1'
_cell_length_a 4.6005
_cell_length_b 4.6005
_cell_length_c 3.8326
_cell_angle_alpha 90.00
_cell_angle_beta 90.00
_cell_angle_gamma 120.00
_symmetry_space_group_name_H-M 'P 3 m 1'
_symmetry_Int_Tables_number 156
loop_
_symmetry_equiv_pos_as_xyz
'x,y,z'
'-y,x-y,z'
'-x+y,-x,z'
'-y,-x,z'
'-x+y,y,z'
'x,x-y,z'
loop_
_atom_site_label
_atom_site_fract_x
_atom_site_fract_y
_atom_site_fract_z
Ho1 0.0000 0.0000 0.0000
Hf1 0.3333 0.6667 0.4896
Ge1 0.6667 0.3333 0.6024
# * E_form: -201.3 meV/atom

# Sr13Ca2 | Alexandria via LeMat-Bulk | PBE | relaxed
data_Sr13Ca2
_chemical_formula_sum 'Sr13 Ca2'
_cell_length_a 7.813
_cell_length_b 10.495
_cell_length_c 10.523
_cell_angle_alpha 66.32
_cell_angle_beta 82.18
_cell_angle_gamma 82.33
_symmetry_space_group_name_H-M 'P -1'
_symmetry_Int_Tables_number 2
loop_
_symmetry_equiv_pos_as_xyz
'x,y,z'
'-x,-y,-z'
loop_
_atom_site_label
_atom_site_fract_x
_atom_site_fract_y
_atom_site_fract_z
Sr1 0.000 0.000 0.000
Sr2 0.134 0.469 0.788
Sr3 0.199 0.204 0.196
Sr4 0.262 0.933 0.596
Sr5 0.330 0.666 0.000
Sr6 0.387 0.402 0.403
Sr7 0.472 0.133 0.798
Ca1 0.066 0.738 0.396
# * E_form: 12.0 meV/atom

# CsSrMg2Pt | Alexandria via LeMat-Bulk | PBE | relaxed
data_CsSrMg2Pt
_chemical_formula_sum 'Cs1 Sr1 Mg2 Pt1'
_cell_length_a 5.403
_cell_length_b 5.403
_cell_length_c 5.851
_cell_angle_alpha 90.00
_cell_angle_beta 90.00
_cell_angle_gamma 90.00
_symmetry_space_group_name_H-M 'P 4/m m m'
_symmetry_Int_Tables_number 123
_symmetry_space_group_name_Hall '-P 4 2'
loop_
_atom_site_label
_atom_site_fract_x
_atom_site_fract_y
_atom_site_fract_z
Cs1 0.000 0.000 0.000
Sr1 0.500 0.500 0.000
Mg1 0.000 0.500 0.500
Pt1 0.500 0.500 0.500
# * E_form: -260.2 meV/atom

# CsCa2ZrAs | Alexandria via LeMat-Bulk | PBE | relaxed
data_CsCa2ZrAs
_chemical_formula_sum 'Cs1 Ca2 Zr1 As1'
_cell_length_a 6.169
_cell_length_b 6.169
_cell_length_c 5.309
_cell_angle_alpha 90.00
_cell_angle_beta 90.00
_cell_angle_gamma 90.00
_symmetry_space_group_name_H-M 'P 4/m m m'
_symmetry_Int_Tables_number 123
_symmetry_space_group_name_Hall '-P 4 2'
loop_
_atom_site_label
_atom_site_fract_x
_atom_site_fract_y
_atom_site_fract_z
Cs1 0.000 0.000 0.000
Ca1 0.000 0.500 0.500
Zr1 0.500 0.500 0.500
As1 0.500 0.500 0.000
# * E_form: 184.2 meV/atom

# Ac8TlCd2 | Alexandria via LeMat-Bulk | PBE | relaxed
data_Ac8TlCd2
_chemical_formula_sum 'Ac16 Tl2 Cd4'
_cell_length_a 20.044
_cell_length_b 5.697
_cell_length_c 8.046
_cell_angle_alpha 90.00
_cell_angle_beta 108.22
_cell_angle_gamma 90.00
_symmetry_space_group_name_H-M 'C 1 2/m 1'
_symmetry_Int_Tables_number 12
loop_
_symmetry_equiv_pos_as_xyz
'x,y,z'
'-x,-y,-z'
'-x,y,-z'
'x,-y,z'
'x+1/2,y+1/2,z'
'-x+1/2,-y+1/2,-z'
'-x+1/2,y+1/2,-z'
'x+1/2,-y+1/2,z'
loop_
_atom_site_label
_atom_site_fract_x
_atom_site_fract_y
_atom_site_fract_z
Ac1 0.024 0.000 0.266
Ac2 0.091 0.500 0.960
Ac3 0.168 0.500 0.463
Ac4 0.197 0.000 0.805
Tl1 0.000 0.500 0.500
Cd1 0.184 0.000 0.205
# * E_form: -118.2 meV/atom

# Ce3Pm3HoSe8 | Alexandria via LeMat-Bulk | PBE | relaxed
data_Ce3Pm3HoSe8
_chemical_formula_sum 'Ce9 Pm9 Ho3 Se24'
_cell_length_a 8.3763
_cell_length_b 8.3763
_cell_length_c 20.4939
_cell_angle_alpha 90.00
_cell_angle_beta 90.00
_cell_angle_gamma 120.00
_symmetry_space_group_name_H-M 'R -3 m'
_symmetry_Int_Tables_number 166
_symmetry_space_group_name_Hall '-R 3 2"'
loop_
_atom_site_label
_atom_site_fract_x
_atom_site_fract_y
_atom_site_fract_z
Ce1 0.0000 0.5000 0.0000
Pm1 0.0000 0.5000 0.5000
Ho1 0.0000 0.0000 0.0000
Se1 0.0000 0.0000 0.2496
Se2 0.0059 0.5029 0.7489
# * formation energy (no corrections): -1.861 eV/atom

# ScAsPtC2 | Alexandria via LeMat-Bulk | PBE | relaxed
data_ScAsPtC2
_chemical_formula_sum 'Sc1 As1 Pt1 C2'
_cell_length_a 4.140
_cell_length_b 4.140
_cell_length_c 5.152
_cell_angle_alpha 90.00
_cell_angle_beta 90.00
_cell_angle_gamma 90.00
_symmetry_space_group_name_H-M 'P 4/m m m'
_symmetry_Int_Tables_number 123
_symmetry_space_group_name_Hall '-P 4 2'
loop_
_atom_site_label
_atom_site_fract_x
_atom_site_fract_y
_atom_site_fract_z
Sc1 0.000 0.000 0.000
As1 0.000 0.000 0.500
Pt1 0.500 0.500 0.500
C1 0.000 0.500 0.000
# * E_form: 1937.5 meV/atom

# LiGaAu | Alexandria via LeMat-Bulk | PBE | relaxed
data_LiGaAu
_chemical_formula_sum 'Li4 Ga4 Au4'
_cell_length_a 6.127
_cell_length_b 6.127
_cell_length_c 6.127
_cell_angle_alpha 90.00
_cell_angle_beta 90.00
_cell_angle_gamma 90.00
_symmetry_space_group_name_H-M 'F -4 3 m'
_symmetry_Int_Tables_number 216
_symmetry_space_group_name_Hall 'F -4 2 3'
loop_
_atom_site_label
_atom_site_fract_x
_atom_site_fract_y
_atom_site_fract_z
Li1 0.000 0.000 0.000
Ga1 0.000 0.000 0.500
Au1 0.250 0.250 0.250
# * E_form: -353.5 meV/atom

# PuTi2Tl | Alexandria via LeMat-Bulk | PBE | relaxed
data_PuTi2Tl
_chemical_formula_sum 'Pu4 Ti8 Tl4'
_cell_length_a 6.858
_cell_length_b 6.858
_cell_length_c 6.858
_cell_angle_alpha 90.00
_cell_angle_beta 90.00
_cell_angle_gamma 90.00
_symmetry_space_group_name_H-M 'F m -3 m'
_symmetry_Int_Tables_number 225
_symmetry_space_group_name_Hall '-F 4 2 3'
loop_
_atom_site_label
_atom_site_fract_x
_atom_site_fract_y
_atom_site_fract_z
Pu1 0.000 0.000 0.000
Ti1 0.250 0.250 0.250
Tl1 0.000 0.000 0.500
# * E_form: 142.9 meV/atom

| no. | DOS(E_F) (states/eV/f.u.) |
| --- | --- |
| 1 | 3.546 |
| 2 | 11.528 |
| 3 | 5.702 |
| 4 | 3.338 |
| 5 | 16.725 |
| 6 | 2.472 |
| 7 | 2.531 |
| 8 | 12.965 |
| 9 | 21.110 |
| 10 | 4.236 |
| 11 | 2.084 |
| 12 | 7.598 |